The following is a PBE calculation of a relaxed structure of In2SnBi, from the Alexandria database.

Cell and atoms, written as extended XYZ:
```
8
Lattice="4.608 0.000 0.000 -2.304 3.991 0.000 0.000 0.000 13.868" Properties=species:S:1:pos:R:3 pbc="T T T"
In 0.000 2.660 1.605
In 0.000 2.660 5.329
In 2.304 1.330 8.539
In 2.304 1.330 12.263
Sn 0.000 0.000 0.000
Sn 0.000 0.000 6.934
Bi 0.000 0.000 3.467
Bi 0.000 0.000 10.401
```

Symmetry: No. 194
Electronic total energy in eV/atom: -3.258
Magnetization in Bohr magnetons per cell: 0.00
ρ in g/cm³: 7.26
DFT formation energy in eV/atom: 0.082


The following is a PBE calculation of a relaxed structure of In6SnBi4, from the Alexandria database.

Cell and atoms, written as extended XYZ:
```
11
Lattice="10.799 0.000 0.000 -5.400 9.352 0.000 0.000 0.000 3.422" Properties=species:S:1:pos:R:3 pbc="T T T"
In -2.506 4.788 0.000
In 0.000 2.736 1.711
In -3.030 7.984 1.711
In 2.506 4.788 0.000
In 0.000 9.128 0.000
In 3.030 7.984 1.711
Sn 5.400 3.117 1.711
Bi 0.000 6.235 1.711
Bi 2.748 1.587 0.000
Bi 8.051 1.587 0.000
Bi 5.400 6.179 0.000
```

Symmetry: No. 187
Electronic total energy in eV/atom: -3.194
Magnetization in Bohr magnetons per cell: 0.00
ρ in g/cm³: 7.90
DFT formation energy in eV/atom: 0.075